Entry 1:
Compound: DyTeP
Source: Alexandria via LeMat-Bulk
Functional: PBE-GGA
Structure: optimized geometry

abc: 4.0854 3.9535 9.0242
angles: 90.00 92.98 90.00
Closest atoms and distances in Å follow each position.
Space group P2_1/m (No. 11)
Unique sites:
Dy 0.2238 0.2500 0.2420  4 P 2.83-3.06, 4 Te 3.07-3.09
Te 0.2576 0.2500 0.6274  4 Dy 3.07-3.09
P 0.3358 0.7500 0.9902  2 P 2.39

Output
* E: -5.48 eV per atom



Entry 2:
Compound: Dy4TeP3
Source: Alexandria via LeMat-Bulk
Functional: PBE-GGA
Structure: optimized geometry

abc: 4.0717 4.0717 27.0656
angles: 90.00 90.00 120.00
Closest atoms and distances in Å follow each position.
Space group P6_3/mmc (No. 194)
Unique sites:
Dy 0.0000 0.0000 0.1725  3 P 2.76
Dy 0.3333 0.6667 0.0574  6 P 2.82-2.89
Te 0.3333 0.6667 0.2500  6 Dy 3.15
P 0.0000 0.0000 0.0000  6 Dy 2.82
P 0.3333 0.6667 0.6193  6 Dy 2.76-2.89

Output
* E: -6.33 eV per atom



Entry 3:
Compound: Dy3Te2P
Source: Alexandria via LeMat-Bulk
Functional: PBE-GGA
Structure: optimized geometry

abc: 7.5091 12.6622 7.2400
angles: 90.00 109.67 90.00
Closest atoms and distances in Å follow each position.
Space group C2/c (No. 15)
Unique sites:
Dy 0.2043 0.0707 0.4930  2 P 2.79-2.80, 2 Te 3.03-3.08
Dy 0.2500 0.2500 0.0000  2 P 2.93, 4 Te 3.02-3.03
Te 0.0000 0.2620 0.2500  6 Dy 3.02-3.18
Te 0.0000 0.4210 0.7500  6 Dy 3.03-3.27
P 0.0000 0.0908 0.7500  6 Dy 2.79-2.93

Output
* distance to the lowest polymorph of the same formula: 0.0353 eV per atom



Entry 4:
Compound: Dy2TeP
Source: Alexandria via LeMat-Bulk
Functional: PBE-GGA
Structure: optimized geometry

abc: 4.0708 4.0708 21.6955
angles: 90.00 90.00 120.00
Closest atoms and distances in Å follow each position.
Space group R3m (No. 160, hexagonal axes)
Unique sites:
Dy 0.0000 0.0000 0.0000  3 P 2.82
Dy 0.0000 0.0000 0.1940  3 P 2.77
Te 0.0000 0.0000 0.7642  6 Dy 3.15-3.16
P 0.0000 0.0000 0.5952  6 Dy 2.77-2.82

Output
* distance to the lowest polymorph of the same formula: 0.0298 eV per atom



Entry 5:
Compound: Dy3Te2P
Source: Alexandria via LeMat-Bulk
Functional: PBE-GGA
Structure: optimized geometry

abc: 7.2917 12.6008 7.4646
angles: 90.00 109.00 90.00
Closest atoms and distances in Å follow each position.
Space group C2/m (No. 12)
Unique sites:
Dy 0.2112 0.0000 0.2125  2 P 2.79, 2 Te 3.02
Dy 0.2465 0.1795 0.7817  2 P 2.79-2.80, 2 Te 3.04-3.06
Te 0.0000 0.0000 0.5000  6 Dy 3.02-3.21
Te 0.0000 0.3418 0.5000  6 Dy 3.06-3.23
Te 0.0000 0.5000 0.0000  6 Dy 3.02-3.04
P 0.0000 0.1682 0.0000  6 Dy 2.79-2.80

Output
* distance to the lowest polymorph of the same formula: 0.0000 eV per atom



Entry 6:
Compound: DyTh2Te2P2
Source: Alexandria via LeMat-Bulk
Functional: PBE-GGA
Structure: optimized geometry

abc: 5.0942 5.0942 15.9336
angles: 90.00 90.00 90.00
Closest atoms and distances in Å follow each position.
Space group I4/mmm (No. 139)
Unique sites:
Dy 0.0000 0.0000 0.0000  4 P 2.55
Th 0.0000 0.0000 0.3928  4 P 3.07, 1 Te 3.23, 1 Th 3.42
Te 0.0000 0.0000 0.1899  1 Dy 3.03, 1 Th 3.23
P 0.0000 0.5000 0.0000  2 Dy 2.55

Output
* E: -6.25 eV per atom



Entry 7:
Compound: Dy4Tl2TeP
Source: Alexandria via LeMat-Bulk
Functional: PBE-GGA
Structure: optimized geometry

abc: 7.0887 4.0007 8.2044
angles: 90.00 105.76 90.00
Closest atoms and distances in Å follow each position.
Space group P2/m (No. 10)
Unique sites:
Dy 0.2158 0.0000 0.2109  2 P 2.81, 1 Te 2.99
Dy 0.2352 0.5000 0.7732  1 P 2.82, 2 Te 3.02, 2 Tl 3.13
Tl 0.0000 0.0000 0.5000  6 Dy 3.13-3.15
Tl 0.5000 0.5000 0.5000  6 Dy 3.29-3.33
Te 0.5000 0.0000 0.0000  6 Dy 2.99-3.02
P 0.0000 0.5000 0.0000  6 Dy 2.81-2.82

Output
* E: -4.83 eV per atom



Entry 8:
Compound: DyTmTeP
Source: Alexandria via LeMat-Bulk
Functional: PBE-GGA
Structure: optimized geometry

abc: 4.0415 4.0415 21.5755
angles: 90.00 90.00 120.00
Closest atoms and distances in Å follow each position.
Space group R3m (No. 160, hexagonal axes)
Unique sites:
Dy 0.0000 0.0000 0.0000  3 P 2.77
Tm 0.0000 0.0000 0.1944  3 P 2.78
Te 0.0000 0.0000 0.4311  3 Tm 3.13, 3 Dy 3.15
P 0.0000 0.0000 0.5978  3 Dy 2.77, 3 Tm 2.78

Output
* E: -5.90 eV per atom



Number 1: M_tot 0.000 μB per atom. Number 2: M_tot 0.000 μB per atom. Number 3: M_tot 0.000 μB per atom. Number 4: M_tot 0.000 μB per atom. Number 5: M_tot 0.000 μB per atom. Number 6: M_tot 0.124 μB per atom. Number 7: M_tot 0.000 μB per atom. Number 8: M_tot 0.000 μB per atom.